Here is CsCa2InN after structural relaxation from the Alexandria database. Energies are from GGA-PBE.

Its density of states at the Fermi level is 0.622 states/eV/atom. The value obtained for the total energy is -2.443 eV per atom.

Unit cell a=6.852 b=4.264 c=6.852 alpha=90.00 beta=90.00 gamma=90.00
Sites, in units of the cell vectors:
In1 0.000 0.000 0.000
N1 0.000 0.500 0.000
Ca1 0.500 0.000 0.000
Ca2 0.000 0.000 0.500
Cs1 0.500 0.500 0.500

***

Here is BaMnRe2 after structural relaxation from the Alexandria database. Energies are from GGA-PBE.

Its density of states at the Fermi level is 1.364 states/eV/atom. The value obtained for the total energy is -7.631 eV per atom.

Unit cell a=3.088 b=4.613 c=5.373 alpha=90.00 beta=90.00 gamma=90.00
Last column: magnetic moment on the atom in μB.
Sites, in units of the cell vectors:
Re1 0.500 0.500 0.000  -0.28
Re2 0.000 0.000 0.000  0.34
Mn1 0.000 0.500 0.500  3.29
Ba1 0.500 0.000 0.500  -0.05

***

Here is Cu3Pd12Rh after structural relaxation from the Alexandria database. Energies are from GGA-PBE.

Its density of states at the Fermi level is 1.480 states/eV/atom. The value obtained for the total energy is -5.145 eV per atom.

Unit cell a=3.897 b=3.897 c=15.573 alpha=90.00 beta=90.00 gamma=90.00
Last column: magnetic moment on the atom in μB.
Sites, in units of the cell vectors:
Pd1 0.500 0.000 0.872  0.24
Pd2 0.000 0.500 0.128  0.24
Pd3 0.500 0.000 0.128  0.24
Pd4 0.500 0.500 0.252  0.12
Pd5 0.000 0.500 0.872  0.24
Pd6 0.000 0.500 0.376  0.06
Pd7 0.500 0.500 0.500  0.03
Pd8 0.500 0.000 0.624  0.06
Pd9 0.500 0.500 0.748  0.12
Pd10 0.000 0.500 0.624  0.06
Pd11 0.500 0.500 0.000  0.22
Pd12 0.500 0.000 0.376  0.06
Cu1 0.000 0.000 0.748  0.02
Cu2 0.000 0.000 0.500  0.01
Cu3 0.000 0.000 0.252  0.02
Rh1 0.000 0.000 0.000  0.90

***

Here is AgSn5Se7 after structural relaxation from the Alexandria database. Energies are from GGA-PBE.

Its density of states at the Fermi level is 0.471 states/eV/atom. The value obtained for the total energy is -3.974 eV per atom.

Unit cell a=4.120 b=7.150 c=25.068 alpha=93.08 beta=90.00 gamma=106.74
Sites, in units of the cell vectors:
Sn1 0.265 0.530 0.423
Sn2 0.000 0.001 0.000
Sn3 0.000 0.000 0.500
Sn4 0.727 0.454 0.922
Sn5 0.552 0.105 0.157
Sn6 0.534 0.068 0.348
Sn7 0.466 0.933 0.652
Sn8 0.735 0.471 0.577
Sn9 0.274 0.547 0.078
Sn10 0.448 0.897 0.843
Se1 0.635 0.270 0.464
Se2 0.366 0.731 0.536
Se3 0.892 0.784 0.393
Se4 0.083 0.166 0.892
Se5 0.556 0.113 0.753
Se6 0.108 0.217 0.607
Se7 0.805 0.610 0.818
Se8 0.161 0.323 0.325
Se9 0.918 0.836 0.108
Se10 0.640 0.280 0.036
Se11 0.444 0.889 0.247
Se12 0.360 0.721 0.964
Se13 0.839 0.678 0.675
Se14 0.196 0.392 0.182
Ag1 0.173 0.345 0.784
Ag2 0.828 0.656 0.216

***

Here is Dy6Hg2BiTe3 after structural relaxation from the Alexandria database. Energies are from GGA-PBE.

Its density of states at the Fermi level is 0.463 states/eV/atom. The value obtained for the total energy is -4.403 eV per atom.

Unit cell a=4.300 b=8.864 c=10.049 alpha=109.89 beta=102.35 gamma=90.00
Sites, in units of the cell vectors:
Dy1 0.338 0.382 0.675
Dy2 0.328 0.867 0.655
Dy3 0.988 0.741 0.975
Dy4 0.012 0.259 0.025
Dy5 0.672 0.133 0.345
Dy6 0.662 0.618 0.325
Te1 0.500 0.500 0.000
Te2 0.840 0.132 0.679
Te3 0.160 0.868 0.321
Bi1 0.500 0.000 0.000
Hg1 0.185 0.392 0.371
Hg2 0.815 0.608 0.629

***

Here is GaCu2ReAg after structural relaxation from the Alexandria database. Energies are from GGA-PBE.

Its density of states at the Fermi level is 0.371 states/eV/atom. The value obtained for the total energy is -4.194 eV per atom.

Unit cell a=4.375 b=4.679 c=4.375 alpha=90.00 beta=90.00 gamma=90.00
Sites, in units of the cell vectors:
Ag1 0.500 0.500 0.500
Ga1 0.000 0.000 0.000
Cu1 0.000 0.000 0.500
Cu2 0.500 0.000 0.000
Re1 0.000 0.500 0.000

***

Here is PmNdSmSe3 after structural relaxation from the Alexandria database. Energies are from GGA-PBE.

Its density of states at the Fermi level is 0.515 states/eV/atom. The value obtained for the total energy is -5.861 eV per atom.

Unit cell a=4.061 b=7.337 c=10.912 alpha=102.51 beta=90.00 gamma=90.00
Sites, in units of the cell vectors:
Nd1 0.750 0.879 0.373
Nd2 0.250 0.121 0.627
Se1 0.750 0.295 0.494
Se2 0.250 0.458 0.835
Se3 0.750 0.058 0.158
Se4 0.750 0.542 0.165
Se5 0.250 0.942 0.842
Se6 0.250 0.705 0.506
Pm1 0.250 0.339 0.300
Pm2 0.750 0.661 0.700
Sm1 0.750 0.234 0.942
Sm2 0.250 0.766 0.058

***

Here is Al2HAu2 after structural relaxation from the Alexandria database. Energies are from GGA-PBE.

Its density of states at the Fermi level is 0.302 states/eV/atom. The value obtained for the total energy is -3.519 eV per atom.

Unit cell a=5.669 b=5.669 c=4.550 alpha=90.00 beta=90.00 gamma=90.00
Sites, in units of the cell vectors:
Au1 0.830 0.330 0.500
Au2 0.170 0.670 0.500
Au3 0.330 0.170 0.500
Au4 0.670 0.830 0.500
Al1 0.326 0.826 0.000
Al2 0.674 0.174 0.000
Al3 0.174 0.326 0.000
Al4 0.826 0.674 0.000
H1 0.500 0.500 0.000
H2 0.000 0.000 0.000

***

Here is PrZrIn2 after structural relaxation from the Alexandria database. Energies are from GGA-PBE.

Its density of states at the Fermi level is 1.036 states/eV/atom. The value obtained for the total energy is -4.859 eV per atom.

Unit cell a=3.388 b=3.388 c=10.782 alpha=80.96 beta=80.96 gamma=60.00
Sites, in units of the cell vectors:
Pr1 0.500 0.500 0.500
In1 0.256 0.256 0.233
In2 0.744 0.744 0.767
Zr1 0.000 0.000 0.000

***

Here is TaSb3Br after structural relaxation from the Alexandria database. Energies are from GGA-PBE.

Its density of states at the Fermi level is 1.089 states/eV/atom. The value obtained for the total energy is -3.620 eV per atom.

Unit cell a=5.308 b=5.308 c=5.308 alpha=90.00 beta=90.00 gamma=90.00
Last column: magnetic moment on the atom in μB.
Sites, in units of the cell vectors:
Sb1 0.000 0.000 0.500  -0.07
Sb2 0.500 0.000 0.000  -0.04
Sb3 0.000 0.500 0.000  -0.07
Br1 0.000 0.000 0.000  -0.01
Ta1 0.500 0.500 0.500  1.47

***

Here is Rb2UTlS6 after structural relaxation from the Alexandria database. Energies are from GGA-PBE.

Its density of states at the Fermi level is 0.667 states/eV/atom. The value obtained for the total energy is -4.819 eV per atom.

Unit cell a=7.386 b=7.386 c=7.384 alpha=59.98 beta=59.98 gamma=59.98
Sites, in units of the cell vectors:
U1 0.316 0.316 0.052
Rb1 0.566 0.566 0.301
Rb2 0.066 0.066 0.802
S1 0.561 0.074 0.810
S2 0.558 0.077 0.293
S3 0.555 0.561 0.810
S4 0.071 0.558 0.293
S5 0.075 0.555 0.810
S6 0.077 0.071 0.293
Tl1 0.816 0.816 0.552

***

Here is KBe3 after structural relaxation from the Alexandria database. Energies are from GGA-PBE.

Its density of states at the Fermi level is 0.866 states/eV/atom. The value obtained for the total energy is -0.502 eV per atom.

Unit cell a=6.776 b=6.776 c=6.776 alpha=90.00 beta=90.00 gamma=90.00
Sites, in units of the cell vectors:
Be1 0.500 0.000 0.000
Be2 0.000 0.500 0.000
Be3 0.000 0.000 0.500
K1 0.000 0.000 0.000